w | DFT (GGA-PBE) results for crystalline PrNd3Tm2 at its relaxed geometry.

Lattice parameters (Å, degrees): 17.5776 3.5506 13.3380 90.00 101.81 90.00
Last column: nearest neighbours and their distance in Å.
Space group C2/m (No. 12)
Asymmetric unit:
Pr 0.0935 0.0000 0.2123 (multiplicity 4)  3 Nd 3.35-3.57, 4 Tm 3.42-3.55, 2 Pr 3.55
Nd 0.0812 0.0000 0.4595 (multiplicity 4)  3 Nd 3.25-3.55, 1 Pr 3.35, 3 Tm 3.40-3.63
Nd 0.0925 0.5000 0.7098 (multiplicity 4)  8 Nd 3.55-3.84, 4 Tm 3.70-3.85
Nd 0.2390 0.5000 0.1151 (multiplicity 4)  4 Tm 3.40-3.60, 4 Nd 3.55-3.64, 2 Pr 3.57
Tm 0.0839 0.0000 0.9509 (multiplicity 4)  5 Nd 3.40-3.70, 2 Pr 3.42-3.46, 3 Tm 3.46-3.55
Tm 0.2401 0.5000 0.3835 (multiplicity 4)  4 Nd 3.40-3.63, 4 Tm 3.53-3.55, 2 Pr 3.55

x | DFT (GGA-PBE) results for crystalline PrNd3Tm2 at its relaxed geometry.

Lattice parameters (Å, degrees): 3.5022 6.0000 19.6783 90.00 90.00 90.00
Last column: nearest neighbours and their distance in Å.
Space group Immm (No. 71)
Asymmetric unit:
Pr 0.0000 0.0000 0.0000 (multiplicity 2)  2 Nd 3.00
Nd 0.0000 0.0000 0.1909 (multiplicity 4)  5 Tm 3.36-3.62, 2 Nd 3.50, 1 Pr 3.76
Nd 0.0000 0.5000 0.0000 (multiplicity 2)  2 Pr 3.00, 4 Tm 3.24
Tm 0.0000 0.0000 0.3616 (multiplicity 4)  7 Nd 3.24-3.62, 2 Tm 3.50

We find w to be the most stable, with the next structure 240 meV/atom higher.